No. 1
First-principles (SCAN) data for a crystal of InIrCl2 relaxed with PBEsol, as listed in Alexandria via LeMat-Bulk.

Cell and atoms, written as POSCAR:
```
InIrCl2
1.0
-1.561 -2.473 -0.805
0.590 -1.373 -2.640
6.137 -6.758 3.142
Cl Ir In
2 1 1
direct
0.922 0.922 0.235
0.078 0.078 0.765
0.000 0.000 0.000
0.500 0.500 0.500
```

Output
Its space-group type is R-3m. For the density of states at the Fermi level, the calculation gives 3.1 states/eV per cell.

=====

No. 2
First-principles (SCAN) data for a crystal of InIrCl2 relaxed with PBEsol, as listed in Alexandria via LeMat-Bulk.

Cell and atoms, written as POSCAR:
```
InIrCl2
1.0
-2.181 2.841 0.260
-2.686 -1.934 -1.393
-1.817 -1.965 6.232
Ir Cl In
1 2 1
direct
0.500 0.500 0.672
0.500 0.500 0.321
0.000 0.000 0.945
0.000 0.000 0.562
```

Output
Its space-group type is P4mm. For the density of states at the Fermi level, the calculation gives 0.1 states/eV per cell.

=====

No. 3
First-principles (SCAN) data for a crystal of InIrCl2 relaxed with PBEsol, as listed in Alexandria via LeMat-Bulk.

Cell and atoms, written as POSCAR:
```
InIrCl2
1.0
-1.866 2.386 -0.260
-3.435 -2.717 -0.280
-0.543 0.146 5.245
Cl In Ir
2 1 1
direct
0.500 0.000 0.500
0.000 0.000 0.000
0.500 0.500 0.000
0.000 0.500 0.500
```

Output
Its space-group type is Pmmm. For the density of states at the Fermi level, the calculation gives 1.7 states/eV per cell.

=====

No. 4
First-principles (SCAN) data for a crystal of InIrCl2 relaxed with PBEsol, as listed in Alexandria via LeMat-Bulk.

Cell and atoms, written as POSCAR:
```
InIrCl2
1.0
3.166 0.000 0.000
1.583 3.608 -0.039
1.583 0.059 8.055
Cl Ir In
2 1 1
direct
0.798 0.698 0.705
0.937 0.060 0.066
0.288 0.160 0.265
0.477 0.582 0.464
```

Output
Its space-group type is Cm.

=====

Across the entries above, size of the total moment takes the values 0.000, 0.000, 0.000, 0.000 μB per formula unit, respectively.
Across the entries above, energy relative to the elements, uncorrected takes the values 0.22, 0.24, 1.31, -1.25 eV/f.u., respectively.